Record 1
Compound: SrLaSc2
Source: Alexandria
Functional: PBE
Structure: relaxed

Structure (CIF):
```
data_SrLaSc2
_chemical_formula_sum 'Sr2 La2 Sc4'
_cell_length_a 3.8253
_cell_length_b 5.7879
_cell_length_c 11.7394
_cell_angle_alpha 90.00
_cell_angle_beta 90.00
_cell_angle_gamma 90.00
_symmetry_space_group_name_H-M 'C m m m'
_symmetry_Int_Tables_number 65
_symmetry_space_group_name_Hall '-C 2 2'
loop_
_atom_site_label
_atom_site_type_symbol
_atom_site_fract_x
_atom_site_fract_y
_atom_site_fract_z
Sr1 Sr 0.0000 0.0000 0.0000
La1 La 0.0000 0.0000 0.5000
Sc1 Sc 0.0000 0.5000 0.2601
```

Values from the calculation:
Fermi-level density of states: 18.13 states/eV/cell
E_tot: -4.505 eV/atom
spin magnetization: 0.1 μB/cell

Record 2
Compound: SrLaSc2
Source: Alexandria
Functional: PBE
Structure: relaxed

Structure (CIF):
```
data_SrLaSc2
_chemical_formula_sum 'Sr4 La4 Sc8'
_cell_length_a 4.7573
_cell_length_b 4.7573
_cell_length_c 23.6995
_cell_angle_alpha 90.00
_cell_angle_beta 90.00
_cell_angle_gamma 90.00
_symmetry_space_group_name_H-M 'I -4 2 d'
_symmetry_Int_Tables_number 122
_symmetry_space_group_name_Hall 'I -4 2bw'
loop_
_atom_site_label
_atom_site_type_symbol
_atom_site_fract_x
_atom_site_fract_y
_atom_site_fract_z
Sr1 Sr 0.0000 0.0000 0.0000
La1 La 0.0000 0.0000 0.5000
Sc1 Sc 0.2298 0.2500 0.6250
```

Values from the calculation:
Fermi-level density of states: 34.25 states/eV/cell
E_tot: -4.214 eV/atom
spin magnetization: 4.3 μB/cell

Record 3
Compound: SrLaSc
Source: Alexandria
Functional: PBE
Structure: relaxed

Structure (CIF):
```
data_SrLaSc
_chemical_formula_sum 'Sr2 La2 Sc2'
_cell_length_a 5.7130
_cell_length_b 5.7130
_cell_length_c 11.6679
_cell_angle_alpha 90.00
_cell_angle_beta 90.00
_cell_angle_gamma 120.00
_symmetry_space_group_name_H-M 'P 63/m m c'
_symmetry_Int_Tables_number 194
_symmetry_space_group_name_Hall '-P 6c 2c'
loop_
_atom_site_label
_atom_site_type_symbol
_atom_site_fract_x
_atom_site_fract_y
_atom_site_fract_z
Sr1 Sr 0.3333 0.6667 0.2500
La1 La 0.0000 0.0000 0.0000
Sc1 Sc 0.0000 0.0000 0.2500
```

Values from the calculation:
Fermi-level density of states: 17.30 states/eV/cell
E_tot: -3.036 eV/atom
spin magnetization: 0.0 μB/cell

Record 4
Compound: SrLaSc2
Source: Alexandria
Functional: PBE
Structure: relaxed

Structure (CIF):
```
data_SrLaSc2
_chemical_formula_sum 'Sr4 La4 Sc8'
_cell_length_a 8.0614
_cell_length_b 8.0614
_cell_length_c 8.0614
_cell_angle_alpha 90.00
_cell_angle_beta 90.00
_cell_angle_gamma 90.00
_symmetry_space_group_name_H-M 'F m -3 m'
_symmetry_Int_Tables_number 225
_symmetry_space_group_name_Hall '-F 4 2 3'
loop_
_atom_site_label
_atom_site_type_symbol
_atom_site_fract_x
_atom_site_fract_y
_atom_site_fract_z
Sr1 Sr 0.0000 0.0000 0.0000
La1 La 0.0000 0.0000 0.5000
Sc1 Sc 0.2500 0.2500 0.2500
```

Values from the calculation:
Fermi-level density of states: 34.74 states/eV/cell
E_tot: -4.546 eV/atom
spin magnetization: 0.0 μB/cell

Record 5
Compound: SrLa3Sc
Source: Alexandria
Functional: PBE
Structure: relaxed

Structure (CIF):
```
data_SrLa3Sc
_chemical_formula_sum 'Sr1 La3 Sc1'
_cell_length_a 5.8828
_cell_length_b 5.8828
_cell_length_c 5.8828
_cell_angle_alpha 90.00
_cell_angle_beta 90.00
_cell_angle_gamma 90.00
_symmetry_space_group_name_H-M 'P m -3 m'
_symmetry_Int_Tables_number 221
_symmetry_space_group_name_Hall '-P 4 2 3'
loop_
_atom_site_label
_atom_site_type_symbol
_atom_site_fract_x
_atom_site_fract_y
_atom_site_fract_z
Sr1 Sr 0.0000 0.0000 0.0000
La1 La 0.0000 0.0000 0.5000
Sc1 Sc 0.5000 0.5000 0.5000
```

Values from the calculation:
Fermi-level density of states: 9.75 states/eV/cell
E_tot: -3.543 eV/atom
spin magnetization: 0.1 μB/cell

Record 6
Compound: SrLaSc2
Source: Alexandria
Functional: PBE
Structure: relaxed

Structure (CIF):
```
data_SrLaSc2
_chemical_formula_sum 'Sr1 La1 Sc2'
_cell_length_a 3.6891
_cell_length_b 4.7096
_cell_length_c 7.6557
_cell_angle_alpha 90.00
_cell_angle_beta 90.10
_cell_angle_gamma 90.00
_symmetry_space_group_name_H-M 'P 1 2/m 1'
_symmetry_Int_Tables_number 10
_symmetry_space_group_name_Hall '-P 2y'
loop_
_atom_site_label
_atom_site_type_symbol
_atom_site_fract_x
_atom_site_fract_y
_atom_site_fract_z
Sr1 Sr 0.0000 0.0000 0.0000
La1 La 0.0000 0.0000 0.5000
Sc1 Sc 0.4995 0.5000 0.2833
```

Values from the calculation:
Fermi-level density of states: 8.90 states/eV/cell
E_tot: -4.577 eV/atom
spin magnetization: 0.0 μB/cell

Record 7
Compound: SrLa2ScTc
Source: Alexandria
Functional: PBE
Structure: relaxed

Structure (CIF):
```
data_SrLa2ScTc
_chemical_formula_sum 'Sr1 La2 Sc1 Tc1'
_cell_length_a 5.5620
_cell_length_b 5.5620
_cell_length_c 5.3973
_cell_angle_alpha 90.00
_cell_angle_beta 90.00
_cell_angle_gamma 90.00
_symmetry_space_group_name_H-M 'P 4/m m m'
_symmetry_Int_Tables_number 123
_symmetry_space_group_name_Hall '-P 4 2'
loop_
_atom_site_label
_atom_site_type_symbol
_atom_site_fract_x
_atom_site_fract_y
_atom_site_fract_z
Sr1 Sr 0.0000 0.0000 0.0000
La1 La 0.0000 0.5000 0.5000
Sc1 Sc 0.5000 0.5000 0.0000
Tc1 Tc 0.5000 0.5000 0.5000
```

Values from the calculation:
Fermi-level density of states: 3.46 states/eV/cell
E_tot: -5.617 eV/atom
spin magnetization: 0.0 μB/cell

Record 8
Compound: Sr3La3ScTe8
Source: Alexandria
Functional: PBE
Structure: relaxed

Structure (CIF):
```
data_Sr3La3ScTe8
_chemical_formula_sum 'Sr9 La9 Sc3 Te24'
_cell_length_a 9.1259
_cell_length_b 9.1259
_cell_length_c 23.1353
_cell_angle_alpha 90.00
_cell_angle_beta 90.00
_cell_angle_gamma 120.00
_symmetry_space_group_name_H-M 'R -3 m'
_symmetry_Int_Tables_number 166
_symmetry_space_group_name_Hall '-R 3 2"'
loop_
_atom_site_label
_atom_site_type_symbol
_atom_site_fract_x
_atom_site_fract_y
_atom_site_fract_z
Sr1 Sr 0.0000 0.5000 0.0000
La1 La 0.0000 0.5000 0.5000
Sc1 Sc 0.0000 0.0000 0.5000
Te1 Te 0.0000 0.0000 0.2485
Te2 Te 0.0197 0.5098 0.2426
```

Values from the calculation:
Fermi-level density of states: 18.54 states/eV/cell
E_tot: -4.986 eV/atom
uncorrected formation energy: -1.5662 eV/atom
spin magnetization: 0.0 μB/cell

Record 9
Compound: LaScTa4
Source: Alexandria
Functional: PBE
Structure: relaxed

Structure (CIF):
```
data_LaScTa4
_chemical_formula_sum 'La4 Sc4 Ta16'
_cell_length_a 8.0629
_cell_length_b 8.0629
_cell_length_c 8.0629
_cell_angle_alpha 90.00
_cell_angle_beta 90.00
_cell_angle_gamma 90.00
_symmetry_space_group_name_H-M 'F -4 3 m'
_symmetry_Int_Tables_number 216
_symmetry_space_group_name_Hall 'F -4 2 3'
loop_
_atom_site_label
_atom_site_type_symbol
_atom_site_fract_x
_atom_site_fract_y
_atom_site_fract_z
La1 La 0.0000 0.0000 0.0000
Sc1 Sc 0.2500 0.2500 0.7500
Ta1 Ta 0.1247 0.1247 0.3753
```

Values from the calculation:
Fermi-level density of states: 52.15 states/eV/cell
E_tot: -9.482 eV/atom
spin magnetization: 0.0 μB/cell

Record 10
Compound: LaSc2Ta2
Source: Alexandria
Functional: PBE
Structure: relaxed

Structure (CIF):
```
data_LaSc2Ta2
_chemical_formula_sum 'La2 Sc4 Ta4'
_cell_length_a 8.6089
_cell_length_b 8.6089
_cell_length_c 3.2202
_cell_angle_alpha 90.00
_cell_angle_beta 90.00
_cell_angle_gamma 90.00
_symmetry_space_group_name_H-M 'P 4/m b m'
_symmetry_Int_Tables_number 127
_symmetry_space_group_name_Hall '-P 4 2ab'
loop_
_atom_site_label
_atom_site_type_symbol
_atom_site_fract_x
_atom_site_fract_y
_atom_site_fract_z
La1 La 0.0000 0.0000 0.0000
Sc1 Sc 0.1808 0.3192 0.5000
Ta1 Ta 0.1084 0.6084 0.0000
```

Values from the calculation:
Fermi-level density of states: 8.02 states/eV/cell
E_tot: -7.962 eV/atom
spin magnetization: 0.0 μB/cell

Record 11
Compound: La3ScTa
Source: Alexandria
Functional: PBE
Structure: relaxed

Structure (CIF):
```
data_La3ScTa
_chemical_formula_sum 'La3 Sc1 Ta1'
_cell_length_a 5.6542
_cell_length_b 5.6542
_cell_length_c 5.6542
_cell_angle_alpha 90.00
_cell_angle_beta 90.00
_cell_angle_gamma 90.00
_symmetry_space_group_name_H-M 'P m -3 m'
_symmetry_Int_Tables_number 221
_symmetry_space_group_name_Hall '-P 4 2 3'
loop_
_atom_site_label
_atom_site_type_symbol
_atom_site_fract_x
_atom_site_fract_y
_atom_site_fract_z
La1 La 0.0000 0.0000 0.5000
Sc1 Sc 0.5000 0.5000 0.5000
Ta1 Ta 0.0000 0.0000 0.0000
```

Values from the calculation:
Fermi-level density of states: 7.29 states/eV/cell
E_tot: -5.963 eV/atom
spin magnetization: 0.0 μB/cell

Record 12
Compound: LaScTa3
Source: Alexandria
Functional: PBE
Structure: relaxed

Structure (CIF):
```
data_LaScTa3
_chemical_formula_sum 'La1 Sc1 Ta3'
_cell_length_a 4.9479
_cell_length_b 4.9479
_cell_length_c 4.9479
_cell_angle_alpha 90.00
_cell_angle_beta 90.00
_cell_angle_gamma 90.00
_symmetry_space_group_name_H-M 'P m -3 m'
_symmetry_Int_Tables_number 221
_symmetry_space_group_name_Hall '-P 4 2 3'
loop_
_atom_site_label
_atom_site_type_symbol
_atom_site_fract_x
_atom_site_fract_y
_atom_site_fract_z
La1 La 0.0000 0.0000 0.0000
Sc1 Sc 0.5000 0.5000 0.5000
Ta1 Ta 0.0000 0.5000 0.5000
```

Values from the calculation:
Fermi-level density of states: 12.26 states/eV/cell
E_tot: -7.888 eV/atom
spin magnetization: 0.0 μB/cell

Record 13
Compound: La4ScTa
Source: Alexandria
Functional: PBE
Structure: relaxed

Structure (CIF):
```
data_La4ScTa
_chemical_formula_sum 'La16 Sc4 Ta4'
_cell_length_a 9.0075
_cell_length_b 9.0075
_cell_length_c 9.0075
_cell_angle_alpha 90.00
_cell_angle_beta 90.00
_cell_angle_gamma 90.00
_symmetry_space_group_name_H-M 'F -4 3 m'
_symmetry_Int_Tables_number 216
_symmetry_space_group_name_Hall 'F -4 2 3'
loop_
_atom_site_label
_atom_site_type_symbol
_atom_site_fract_x
_atom_site_fract_y
_atom_site_fract_z
La1 La 0.1241 0.1241 0.3759
Sc1 Sc 0.0000 0.0000 0.0000
Ta1 Ta 0.2500 0.2500 0.7500
```

Values from the calculation:
Fermi-level density of states: 38.60 states/eV/cell
E_tot: -5.561 eV/atom
spin magnetization: 5.1 μB/cell

Record 14
Compound: La2Sc2Ta
Source: Alexandria
Functional: PBE
Structure: relaxed

Structure (CIF):
```
data_La2Sc2Ta
_chemical_formula_sum 'La2 Sc2 Ta1'
_cell_length_a 5.1193
_cell_length_b 5.1193
_cell_length_c 5.5091
_cell_angle_alpha 90.00
_cell_angle_beta 90.00
_cell_angle_gamma 90.00
_symmetry_space_group_name_H-M 'P 4/m m m'
_symmetry_Int_Tables_number 123
_symmetry_space_group_name_Hall '-P 4 2'
loop_
_atom_site_label
_atom_site_type_symbol
_atom_site_fract_x
_atom_site_fract_y
_atom_site_fract_z
La1 La 0.0000 0.0000 0.0000
La2 La 0.0000 0.0000 0.5000
Sc1 Sc 0.0000 0.5000 0.0000
Ta1 Ta 0.5000 0.5000 0.5000
```

Values from the calculation:
Fermi-level density of states: 7.75 states/eV/cell
E_tot: -5.469 eV/atom
spin magnetization: 0.0 μB/cell

Record 15
Compound: LaSc3Ta
Source: Alexandria
Functional: PBE
Structure: relaxed

Structure (CIF):
```
data_LaSc3Ta
_chemical_formula_sum 'La1 Sc3 Ta1'
_cell_length_a 5.0427
_cell_length_b 5.0427
_cell_length_c 5.0427
_cell_angle_alpha 90.00
_cell_angle_beta 90.00
_cell_angle_gamma 90.00
_symmetry_space_group_name_H-M 'P m -3 m'
_symmetry_Int_Tables_number 221
_symmetry_space_group_name_Hall '-P 4 2 3'
loop_
_atom_site_label
_atom_site_type_symbol
_atom_site_fract_x
_atom_site_fract_y
_atom_site_fract_z
La1 La 0.0000 0.0000 0.0000
Sc1 Sc 0.0000 0.0000 0.5000
Ta1 Ta 0.5000 0.5000 0.5000
```

Values from the calculation:
Fermi-level density of states: 7.66 states/eV/cell
E_tot: -5.755 eV/atom
spin magnetization: 0.0 μB/cell

Record 16
Compound: LaSc3Ta
Source: Alexandria
Functional: PBE
Structure: relaxed

Structure (CIF):
```
data_LaSc3Ta
_chemical_formula_sum 'La1 Sc3 Ta1'
_cell_length_a 5.2486
_cell_length_b 5.2486
_cell_length_c 5.2486
_cell_angle_alpha 90.00
_cell_angle_beta 90.00
_cell_angle_gamma 90.00
_symmetry_space_group_name_H-M 'P m -3 m'
_symmetry_Int_Tables_number 221
_symmetry_space_group_name_Hall '-P 4 2 3'
loop_
_atom_site_label
_atom_site_type_symbol
_atom_site_fract_x
_atom_site_fract_y
_atom_site_fract_z
La1 La 0.0000 0.0000 0.0000
Sc1 Sc 0.0000 0.5000 0.5000
Ta1 Ta 0.5000 0.5000 0.5000
```

Values from the calculation:
Fermi-level density of states: 6.74 states/eV/cell
E_tot: -6.682 eV/atom
spin magnetization: 0.0 μB/cell

Record 17
Compound: LaScTa3
Source: Alexandria
Functional: PBE
Structure: relaxed

Structure (CIF):
```
data_LaScTa3
_chemical_formula_sum 'La1 Sc1 Ta3'
_cell_length_a 4.9593
_cell_length_b 4.9593
_cell_length_c 4.9593
_cell_angle_alpha 90.00
_cell_angle_beta 90.00
_cell_angle_gamma 90.00
_symmetry_space_group_name_H-M 'P m -3 m'
_symmetry_Int_Tables_number 221
_symmetry_space_group_name_Hall '-P 4 2 3'
loop_
_atom_site_label
_atom_site_type_symbol
_atom_site_fract_x
_atom_site_fract_y
_atom_site_fract_z
La1 La 0.0000 0.0000 0.0000
Sc1 Sc 0.5000 0.5000 0.5000
Ta1 Ta 0.0000 0.0000 0.5000
```

Values from the calculation:
Fermi-level density of states: 4.92 states/eV/cell
E_tot: -7.499 eV/atom
spin magnetization: 0.0 μB/cell

Record 18
Compound: LaTb2Sc4
Source: Alexandria
Functional: PBE
Structure: relaxed

Structure (CIF):
```
data_LaTb2Sc4
_chemical_formula_sum 'La1 Tb2 Sc4'
_cell_length_a 5.5526
_cell_length_b 6.2888
_cell_length_c 6.3466
_cell_angle_alpha 94.02
_cell_angle_beta 90.94
_cell_angle_gamma 115.10
_symmetry_space_group_name_H-M 'P -1'
_symmetry_Int_Tables_number 2
_symmetry_space_group_name_Hall '-P 1'
loop_
_atom_site_label
_atom_site_type_symbol
_atom_site_fract_x
_atom_site_fract_y
_atom_site_fract_z
La1 La 0.0000 0.0000 0.0000
Tb1 Tb 0.3644 0.8131 0.6900
Sc1 Sc 0.1925 0.2728 0.5599
Sc2 Sc 0.2642 0.5939 0.1659
```

Values from the calculation:
Fermi-level density of states: 13.97 states/eV/cell
E_tot: -5.533 eV/atom
spin magnetization: 0.0 μB/cell

Record 19
Compound: La2TbSc
Source: Alexandria
Functional: PBE
Structure: relaxed

Structure (CIF):
```
data_La2TbSc
_chemical_formula_sum 'La8 Tb4 Sc4'
_cell_length_a 8.0585
_cell_length_b 8.0585
_cell_length_c 8.0585
_cell_angle_alpha 90.00
_cell_angle_beta 90.00
_cell_angle_gamma 90.00
_symmetry_space_group_name_H-M 'F m -3 m'
_symmetry_Int_Tables_number 225
_symmetry_space_group_name_Hall '-F 4 2 3'
loop_
_atom_site_label
_atom_site_type_symbol
_atom_site_fract_x
_atom_site_fract_y
_atom_site_fract_z
La1 La 0.2500 0.2500 0.2500
Tb1 Tb 0.0000 0.0000 0.0000
Sc1 Sc 0.0000 0.0000 0.5000
```

Values from the calculation:
Fermi-level density of states: 27.60 states/eV/cell
E_tot: -5.117 eV/atom
spin magnetization: 0.0 μB/cell

Record 20
Compound: LaTbSc
Source: Alexandria
Functional: PBE
Structure: relaxed

Structure (CIF):
```
data_LaTbSc
_chemical_formula_sum 'La1 Tb1 Sc1'
_cell_length_a 5.5597
_cell_length_b 5.5597
_cell_length_c 3.4111
_cell_angle_alpha 90.00
_cell_angle_beta 90.00
_cell_angle_gamma 120.00
_symmetry_space_group_name_H-M 'P -6 m 2'
_symmetry_Int_Tables_number 187
_symmetry_space_group_name_Hall 'P -6 2'
loop_
_atom_site_label
_atom_site_type_symbol
_atom_site_fract_x
_atom_site_fract_y
_atom_site_fract_z
La1 La 0.0000 0.0000 0.0000
Tb1 Tb 0.6667 0.3333 0.5000
Sc1 Sc 0.3333 0.6667 0.0000
```

Values from the calculation:
Fermi-level density of states: 4.49 states/eV/cell
E_tot: -5.204 eV/atom
spin magnetization: 0.0 μB/cell